# La2PaS5 (PBE-GGA, optimized geometry)
# density: 5.90 g/cm³
# energy above the lowest structure with this stoichiometry: 0.0 meV per atom
# N(E_F): 22.179 states/eV per cell
# raw total energy: -7.03 eV per atom
# raw formation energy: -2.03 eV per atom
data_La2PaS5
_cell_length_a 12.0911
_cell_length_b 8.2266
_cell_length_c 7.5697
_cell_angle_alpha 90.00
_cell_angle_beta 90.00
_cell_angle_gamma 90.00
_symmetry_space_group_name_H-M 'P n m a'
_symmetry_Int_Tables_number 62
loop_
_symmetry_equiv_pos_as_xyz
'x,y,z'
'-x,-y,-z'
'-x+1/2,-y,z+1/2'
'x+1/2,y,-z+1/2'
'x+1/2,-y+1/2,-z+1/2'
'-x+1/2,y+1/2,z+1/2'
'-x,y+1/2,-z'
'x,-y+1/2,z'
loop_
_atom_site_label
_atom_site_type_symbol
_atom_site_fract_x
_atom_site_fract_y
_atom_site_fract_z
La1 La 0.1762 0.0015 0.0306
Pa1 Pa 0.0070 0.2500 0.5677
S1 S 0.0018 0.2500 0.9486
S2 S 0.0933 0.5392 0.6631
S3 S 0.1870 0.2500 0.3367
S4 S 0.2122 0.7500 0.3111